Here is a geometry-optimized Al2ZnCo structure from OQMD. Energies are from PBE.

Calculated values
M_tot = 0.01 μB per formula unit
raw total energy = -4.00 eV per atom

Lattice parameters (Å, degrees): 5.9819 5.9819 5.9819 90.00 90.00 90.00
Space group F-43m (No. 216)
Inequivalent atoms, fractional coordinates:
Al 0.0000 0.0000 0.0000 [4 per cell]
Al 0.2500 0.2500 0.2500 [4 per cell]
Zn 0.0000 0.0000 0.5000 [4 per cell]
Co 0.2500 0.2500 0.7500 [4 per cell]

***

Here is a geometry-optimized InAgGeO3 structure from OQMD. Energies are from PBE.

Calculated values
raw total energy = -5.26 eV per atom

Lattice parameters (Å, degrees): 9.9502 3.0460 10.1905 90.00 90.00 90.00
Space group Pnma (No. 62)
Inequivalent atoms, fractional coordinates:
In 0.2078 0.2500 0.1266 [4 per cell]
Ag 0.0975 0.7500 0.9278 [4 per cell]
Ge 0.0273 0.7500 0.3761 [4 per cell]
O 0.0685 0.7500 0.7028 [4 per cell]
O 0.1014 0.2500 0.4854 [4 per cell]
O 0.1760 0.7500 0.2760 [4 per cell]

***

Here is a geometry-optimized TbBTe structure from OQMD. Energies are from PBE.

Calculated values
M_tot = 0.00 μB per formula unit
raw total energy = -4.15 eV per atom
polymorph energy (0 for the lowest one) = 413 meV per atom

Lattice parameters (Å, degrees): 6.8357 6.8357 6.8357 90.00 90.00 90.00
Space group F-43m (No. 216)
Inequivalent atoms, fractional coordinates:
Tb 0.0000 0.0000 0.0000 [4 per cell]
B 0.0000 0.0000 0.5000 [4 per cell]
Te 0.2500 0.2500 0.2500 [4 per cell]

***

Here is a geometry-optimized NaPrPa structure from OQMD. Energies are from PBE.

Calculated values
M_tot = 3.42 μB per formula unit
raw total energy = -3.83 eV per atom

Lattice parameters (Å, degrees): 7.4279 7.4279 7.4279 90.00 90.00 90.00
Space group F-43m (No. 216)
Inequivalent atoms, fractional coordinates:
Na 0.0000 0.0000 0.0000 [4 per cell]
Pr 0.2500 0.2500 0.2500 [4 per cell]
Pa 0.2500 0.2500 0.7500 [4 per cell]

***

Here is a geometry-optimized Cu9Ag structure from OQMD. Energies are from PBE.

Calculated values
raw total energy = -3.58 eV per atom
ΔH_f (0 K) = 0.0475 eV per atom
polymorph energy (0 for the lowest one) = 12 meV per atom

Lattice parameters (Å, degrees): 21.1373 2.6342 4.4744 90.00 94.66 90.00
Space group C2/m (No. 12)
Inequivalent atoms, fractional coordinates:
Cu 0.0000 0.0000 0.0000 [2 per cell]
Cu 0.1031 0.5000 0.1954 [4 per cell]
Cu 0.1056 0.0000 0.7068 [4 per cell]
Cu 0.2010 0.0000 0.3996 [4 per cell]
Cu 0.2018 0.5000 0.9012 [4 per cell]
Ag 0.0000 0.5000 0.5000 [2 per cell]

***

Here is a geometry-optimized PaTaTl structure from OQMD. Energies are from PBE.

Calculated values
M_tot = 0.90 μB per formula unit
raw total energy = -6.80 eV per atom
polymorph energy (0 for the lowest one) = 0 meV per atom

Lattice parameters (Å, degrees): 6.8692 6.8692 6.8692 90.00 90.00 90.00
Space group F-43m (No. 216)
Inequivalent atoms, fractional coordinates:
Pa 0.0000 0.0000 0.0000 [4 per cell]
Ta 0.0000 0.0000 0.5000 [4 per cell]
Tl 0.2500 0.2500 0.2500 [4 per cell]

***

The lowest raw total energy belongs to which entry? PaTaTl